Below is BaCuSF after structural relaxation, with properties calculated at the PBE level.

Calculated values
- SG: P4/nmm
- Raw total energy: -4.941 eV per atom

Geometry as CIF:
```
data_BaCuSF
_chemical_formula_sum 'Ba2 Cu2 S2 F2'
_cell_length_a 4.1002
_cell_length_b 4.1002
_cell_length_c 9.0277
_cell_angle_alpha 90.00
_cell_angle_beta 90.00
_cell_angle_gamma 90.00
_space_group_name_H-M_alt 'P 1'
_space_group_IT_number 1
_space_group_name_Hall 'P 1'
loop_
_atom_site_label
_atom_site_fract_x
_atom_site_fract_y
_atom_site_fract_z
_atom_site_occupancy
Ba1 0.2500 0.2500 0.1813 1
Ba2 0.7500 0.7500 0.8187 1
Cu1 0.2500 0.7500 0.5000 1
Cu2 0.7500 0.2500 0.5000 1
S1 0.2500 0.2500 0.6452 1
S2 0.7500 0.7500 0.3548 1
F1 0.2500 0.7500 0.0000 1
F2 0.7500 0.2500 0.0000 1
```